Model w:
The following is a DFT calculation (PBEsol) of TlAgF3 after structural relaxation. Values from VASP.

Output
The calculation puts the magnetization at 0.0 μB per cell. The value obtained for the density of states at the Fermi level is 1.22 states/eV per cell. The theoretical density comes out at 7.61 g/cm3.

Cell and atoms, written as Quantum ESPRESSO input:
```
&SYSTEM
  ibrav = 0, nat = 5, ntyp = 3
/
ATOMIC_SPECIES
Tl 204.38 Tl.upf
Ag 107.87 Ag.upf
F 19.00 F.upf
CELL_PARAMETERS angstrom
4.319 0.000 0.000
0.000 4.319 0.000
0.000 0.000 4.319
ATOMIC_POSITIONS crystal
Tl 0.000 0.000 0.000
Ag 0.500 0.500 0.500
F 0.000 0.500 0.500
F 0.500 0.000 0.500
F 0.500 0.500 0.000
```

=====

Model x:
The following is a DFT calculation (PBEsol) of TlAgF3 after structural relaxation. Values from VASP.

Output
The calculation puts the magnetization at 0.0 μB per cell. The theoretical density comes out at 7.97 g/cm3.

Cell and atoms, written as Quantum ESPRESSO input:
```
&SYSTEM
  ibrav = 0, nat = 20, ntyp = 3
/
ATOMIC_SPECIES
Tl 204.38 Tl.upf
Ag 107.87 Ag.upf
F 19.00 F.upf
CELL_PARAMETERS angstrom
5.598 -3.671 0.000
5.598 3.671 0.000
-1.515 0.000 7.487
ATOMIC_POSITIONS crystal
Tl 0.165 0.835 0.750
Tl 0.308 0.692 0.250
Tl 0.692 0.308 0.750
Tl 0.835 0.165 0.250
Ag 0.225 0.257 0.408
Ag 0.257 0.225 0.908
Ag 0.743 0.775 0.092
Ag 0.775 0.743 0.592
F 0.070 0.651 0.392
F 0.092 0.669 0.006
F 0.331 0.908 0.494
F 0.332 0.422 0.705
F 0.349 0.930 0.108
F 0.422 0.332 0.205
F 0.578 0.668 0.795
F 0.651 0.070 0.892
F 0.668 0.578 0.295
F 0.669 0.092 0.506
F 0.908 0.331 0.994
F 0.930 0.349 0.608
```

=====

It comes down to model x, which is 17 meV/atom more stable than the next structure.

=====

Model w:
The following is a DFT calculation (PBEsol) of ZnAgF5 after structural relaxation. Values from VASP.

Output
The calculation puts the magnetization at 0.0 μB per cell. The value obtained for the density of states at the Fermi level is 2.99 states/eV per cell. The theoretical density comes out at 4.53 g/cm3.

Cell and atoms, written as Quantum ESPRESSO input:
```
&SYSTEM
  ibrav = 0, nat = 14, ntyp = 3
/
ATOMIC_SPECIES
Zn 65.41 Zn.upf
Ag 107.87 Ag.upf
F 19.00 F.upf
CELL_PARAMETERS angstrom
5.027 0.000 0.000
-1.374 5.624 0.000
-0.221 -2.013 6.962
ATOMIC_POSITIONS crystal
Zn 0.027 0.204 0.196
Zn 0.973 0.796 0.804
Ag 0.500 0.000 0.500
Ag 0.500 0.500 0.000
F 0.154 0.808 0.561
F 0.200 0.120 0.938
F 0.216 0.609 0.885
F 0.311 0.055 0.287
F 0.320 0.521 0.245
F 0.680 0.479 0.755
F 0.689 0.945 0.713
F 0.784 0.391 0.115
F 0.800 0.880 0.062
F 0.846 0.192 0.439
```

=====

Model x:
The following is a DFT calculation (PBEsol) of ZnAgF5 after structural relaxation. Values from VASP.

Output
The calculation puts the magnetization at 0.0 μB per cell. The value obtained for the density of states at the Fermi level is 2.17 states/eV per cell. The theoretical density comes out at 4.54 g/cm3.

Cell and atoms, written as Quantum ESPRESSO input:
```
&SYSTEM
  ibrav = 0, nat = 28, ntyp = 3
/
ATOMIC_SPECIES
Zn 65.41 Zn.upf
Ag 107.87 Ag.upf
F 19.00 F.upf
CELL_PARAMETERS angstrom
5.237 0.000 0.000
0.000 9.504 0.000
-2.826 0.000 7.882
ATOMIC_POSITIONS crystal
Zn 0.012 0.006 0.210
Zn 0.012 0.494 0.710
Zn 0.988 0.506 0.290
Zn 0.988 0.994 0.790
Ag 0.395 0.243 0.632
Ag 0.395 0.257 0.132
Ag 0.605 0.743 0.868
Ag 0.605 0.757 0.368
F 0.105 0.113 0.636
F 0.105 0.387 0.136
F 0.131 0.110 0.007
F 0.131 0.390 0.507
F 0.246 0.143 0.348
F 0.246 0.357 0.848
F 0.314 0.630 0.369
F 0.314 0.870 0.869
F 0.344 0.609 0.733
F 0.344 0.891 0.233
F 0.656 0.109 0.767
F 0.656 0.391 0.267
F 0.686 0.130 0.131
F 0.686 0.370 0.631
F 0.754 0.643 0.152
F 0.754 0.857 0.652
F 0.869 0.610 0.493
F 0.869 0.890 0.993
F 0.895 0.613 0.864
F 0.895 0.887 0.364
```

=====

It comes down to model w, which is 14 meV/atom more stable than the next structure.

=====

Model w:
The following is a DFT calculation (PBEsol) of FeAgHg2 after structural relaxation. Values from VASP.

Output
The calculation puts the magnetization at 5.3 μB per cell. The value obtained for the density of states at the Fermi level is 6.51 states/eV per cell. The theoretical density comes out at 13.42 g/cm3.

Cell and atoms, written as Quantum ESPRESSO input:
```
&SYSTEM
  ibrav = 0, nat = 8, ntyp = 3
/
ATOMIC_SPECIES
Fe 55.84 Fe.upf
Ag 107.87 Ag.upf
Hg 200.59 Hg.upf
CELL_PARAMETERS angstrom
10.630 0.000 0.000
0.000 2.910 0.000
-1.859 0.000 4.520
ATOMIC_POSITIONS crystal
Fe 0.000 0.000 0.000
Fe 0.500 0.500 0.000
Ag 0.275 0.000 0.654
Ag 0.775 0.500 0.654
Hg 0.009 0.500 0.495
Hg 0.236 0.500 0.117
Hg 0.509 0.000 0.495
Hg 0.736 0.000 0.117
```

=====

Model x:
The following is a DFT calculation (PBEsol) of FeAgHg2 after structural relaxation. Values from VASP.

Output
The calculation puts the magnetization at 11.2 μB per cell. The value obtained for the density of states at the Fermi level is 16.08 states/eV per cell. The theoretical density comes out at 13.52 g/cm3.

Cell and atoms, written as Quantum ESPRESSO input:
```
&SYSTEM
  ibrav = 0, nat = 16, ntyp = 3
/
ATOMIC_SPECIES
Fe 55.84 Fe.upf
Ag 107.87 Ag.upf
Hg 200.59 Hg.upf
CELL_PARAMETERS angstrom
6.523 0.000 0.000
0.000 6.523 0.000
0.000 0.000 6.523
ATOMIC_POSITIONS crystal
Fe 0.000 0.000 0.000
Fe 0.000 0.500 0.500
Fe 0.500 0.000 0.500
Fe 0.500 0.500 0.000
Ag 0.000 0.000 0.500
Ag 0.000 0.500 0.000
Ag 0.500 0.000 0.000
Ag 0.500 0.500 0.500
Hg 0.250 0.250 0.250
Hg 0.250 0.250 0.750
Hg 0.250 0.750 0.250
Hg 0.250 0.750 0.750
Hg 0.750 0.250 0.250
Hg 0.750 0.250 0.750
Hg 0.750 0.750 0.250
Hg 0.750 0.750 0.750
```

=====

It comes down to model w, which is 27 meV/atom more stable than the next structure.